5
Lattice="-2.8214 2.8214 4.7543 2.8214 -2.8214 4.7543 2.8214 2.8214 -4.7543" Properties=species:S:1:pos:R:3 comment="NaSn2Sb2 (GGA-PBEsol, relaxed)" space_group=I4/mmm crystal_system=tetragonal magmom_total_mub_per_cell=0.000 formation_energy_uncorrected_ev_per_atom=-0.0556 total_energy_ev_per_atom=-3.862 pbc="T T T"
Na 0.0000 0.0000 0.0000
Sn 0.0000 0.0000 3.3168
Sn 0.0000 0.0000 6.1918
Sb 2.8214 0.0000 2.3771
Sb 0.0000 2.8214 2.3771



26
Lattice="0.0000 7.3709 7.3709 7.3709 0.0000 7.3709 7.3709 7.3709 0.0000" Properties=species:S:1:pos:R:3 comment="Na8SnSb4 (GGA-PBEsol, relaxed)" space_group=Fd-3m crystal_system=cubic magmom_total_mub_per_cell=0.000 formation_energy_uncorrected_ev_per_atom=-0.3802 total_energy_ev_per_atom=-2.971 pbc="T T T"
Na 0.0000 0.0000 0.0000
Na 3.6855 3.6855 0.0000
Na 3.6855 0.0000 3.6855
Na 5.5282 5.5282 2.1538
Na 5.5282 2.1538 5.5282
Na 8.9026 5.5282 5.5282
Na 9.2137 9.2137 5.8393
Na 9.2137 5.8393 9.2137
Na 12.5881 9.2137 9.2137
Na 0.0000 3.6855 3.6855
Na 2.1538 5.5282 5.5282
Na 5.5282 8.9026 5.5282
Na 5.5282 5.5282 8.9026
Na 5.8393 9.2137 9.2137
Na 9.2137 12.5881 9.2137
Na 9.2137 9.2137 12.5881
Sn 1.8427 1.8427 1.8427
Sn 12.8991 12.8991 12.8991
Sb 11.2564 7.1710 7.1710
Sb 3.4855 3.4855 3.4855
Sb 7.5709 7.5709 3.4855
Sb 7.5709 3.4855 7.5709
Sb 7.1710 11.2564 7.1710
Sb 7.1710 7.1710 11.2564
Sb 11.2564 11.2564 11.2564
Sb 3.4855 7.5709 7.5709



5
Lattice="5.1729 0.0000 0.0000 0.0000 5.1729 0.0000 0.0000 0.0000 5.2189" Properties=species:S:1:pos:R:3 comment="NaTiSn2Sb (GGA-PBEsol, relaxed)" space_group=P4/mmm crystal_system=tetragonal magmom_total_mub_per_cell=2.008 formation_energy_uncorrected_ev_per_atom=0.9821 total_energy_ev_per_atom=-3.577 pbc="T T T"
Na 0.0000 0.0000 0.0000
Ti 2.5865 2.5865 2.6094
Sn 0.0000 2.5865 0.0000
Sn 2.5865 0.0000 0.0000
Sb 0.0000 0.0000 2.6094



5
Lattice="5.4280 0.0000 0.0000 0.0000 5.4280 0.0000 0.0000 0.0000 5.3699" Properties=species:S:1:pos:R:3 comment="NaTaSbTe2 (GGA-PBEsol, relaxed)" space_group=P4/mmm crystal_system=tetragonal magmom_total_mub_per_cell=0.000 formation_energy_uncorrected_ev_per_atom=0.0042 total_energy_ev_per_atom=-5.108 pbc="T T T"
Na 0.0000 0.0000 0.0000
Ta 2.7140 2.7140 2.6850
Sb 2.7140 2.7140 0.0000
Te 0.0000 2.7140 2.6850
Te 2.7140 0.0000 2.6850



5
Lattice="5.3399 0.0000 0.0000 0.0000 5.3399 0.0000 0.0000 0.0000 5.1681" Properties=species:S:1:pos:R:3 comment="NaTcSbTe2 (GGA-PBEsol, relaxed)" space_group=P4/mmm crystal_system=tetragonal magmom_total_mub_per_cell=3.985 formation_energy_uncorrected_ev_per_atom=1.4623 total_energy_ev_per_atom=-3.393 pbc="T T T"
Na 0.0000 0.0000 0.0000
Tc 2.6700 2.6700 2.5840
Sb 0.0000 0.0000 2.5840
Te 0.0000 2.6700 0.0000
Te 2.6700 0.0000 0.0000



28
Lattice="9.4394 0.0000 0.0000 0.0000 9.4394 0.0000 0.0000 0.0000 9.4394" Properties=species:S:1:pos:R:3 comment="Na3SbTe3 (GGA-PBEsol, relaxed)" space_group=P2_13 crystal_system=cubic magmom_total_mub_per_cell=0.001 formation_energy_uncorrected_ev_per_atom=-0.6073 total_energy_ev_per_atom=-3.369 pbc="T T T"
Na 0.7728 3.9469 5.4925
Na 1.5816 1.5816 1.5816
Na 1.7116 7.7278 3.0081
Na 3.0081 1.7116 7.7278
Na 3.1381 7.8578 6.3013
Na 3.9469 5.4925 0.7728
Na 5.4925 0.7728 3.9469
Na 6.3013 3.1381 7.8578
Na 6.4313 6.4313 6.4313
Na 7.7278 3.0081 1.7116
Na 7.8578 6.3013 3.1381
Na 8.6665 8.6665 8.6665
Sb 0.4309 5.1505 9.0085
Sb 4.2888 4.2888 4.2888
Sb 5.1505 9.0085 0.4309
Sb 9.0085 0.4309 5.1505
Te 0.0540 7.1805 5.9082
Te 1.1885 4.6657 2.2588
Te 2.2588 1.1885 4.6657
Te 2.4608 8.2509 9.3854
Te 3.5312 4.7737 6.9785
Te 4.6657 2.2588 1.1885
Te 4.7737 6.9785 3.5312
Te 5.9082 0.0540 7.1805
Te 6.9785 3.5312 4.7737
Te 7.1805 5.9082 0.0540
Te 8.2509 9.3854 2.4608
Te 9.3854 2.4608 8.2509



10
Lattice="8.6252 0.0000 0.0000 0.0000 8.6252 0.0000 0.0000 0.0000 4.0275" Properties=species:S:1:pos:R:3 comment="NaSb2Te2 (GGA-PBEsol, relaxed)" space_group=P4/mbm crystal_system=tetragonal magmom_total_mub_per_cell=0.000 formation_energy_uncorrected_ev_per_atom=-0.1093 total_energy_ev_per_atom=-3.623 pbc="T T T"
Na 0.0000 0.0000 0.0000
Na 4.3126 4.3126 0.0000
Sb 1.1985 3.1141 2.0137
Sb 3.1141 7.4267 2.0137
Sb 5.5111 1.1985 2.0137
Sb 7.4267 5.5111 2.0137
Te 1.6074 5.9200 0.0000
Te 2.7052 1.6074 0.0000
Te 5.9200 7.0178 0.0000
Te 7.0178 2.7052 0.0000



5
Lattice="5.5457 0.0000 0.0000 0.0000 5.5457 0.0000 0.0000 0.0000 5.5457" Properties=species:S:1:pos:R:3 comment="Na3TiSb (GGA-PBEsol, relaxed)" space_group=Pm-3m crystal_system=cubic magmom_total_mub_per_cell=2.994 formation_energy_uncorrected_ev_per_atom=1.0871 total_energy_ev_per_atom=-2.329 pbc="T T T"
Na 0.0000 0.0000 2.7729
Na 0.0000 2.7729 0.0000
Na 2.7729 0.0000 0.0000
Ti 0.0000 0.0000 0.0000
Sb 2.7729 2.7729 2.7729